# Pm8Ge3Te4Ir (PBE-GGA, relaxed)
# - E_form (uncorrected): -18.40 eV/f.u.
# - Size of the total moment: 0.0000 μB per atom
# - DFT total energy: -275.06 eV for the cell shown
# - ρ: 7.294 Mg/m³
data_Pm8Ge3Te4Ir
_chemical_formula_sum 'Pm24 Ge9 Te12 Ir3'
_space_group_name_H-M_alt 'R -3 m'
_space_group_IT_number 166
_space_group_name_Hall '-R 3 2"'
_cell_length_a 8.6461
_cell_length_b 8.6461
_cell_length_c 21.9481
_cell_angle_alpha 90.00
_cell_angle_beta 90.00
_cell_angle_gamma 120.00
loop_
_atom_site_label
_atom_site_type_symbol
_atom_site_fract_x
_atom_site_fract_y
_atom_site_fract_z
Pm1 Pm 0.0000 0.0000 0.2425
Pm2 Pm 0.0053 0.5026 0.2389
Ge1 Ge 0.0000 0.5000 0.5000
Te1 Te 0.0000 0.0000 0.0000
Te2 Te 0.0000 0.5000 0.0000
Ir1 Ir 0.0000 0.0000 0.5000

***

# LiAl2Cr2 (PBE-GGA, relaxed)
# - Size of the total moment: 1.2102 μB per atom
# - Energy of formation from the pure elements: 170.1 meV per atom
# - DFT total energy: -55.59 eV for the cell shown
# - ρ: 3.430 Mg/m³
data_LiAl2Cr2
_chemical_formula_sum 'Li2 Al4 Cr4'
_space_group_name_H-M_alt 'P 4/m b m'
_space_group_IT_number 127
_space_group_name_Hall '-P 4 2ab'
_cell_length_a 7.348
_cell_length_b 7.348
_cell_length_c 2.957
_cell_angle_alpha 90.00
_cell_angle_beta 90.00
_cell_angle_gamma 90.00
loop_
_atom_site_label
_atom_site_type_symbol
_atom_site_fract_x
_atom_site_fract_y
_atom_site_fract_z
Li1 Li 0.000 0.000 0.000
Al1 Al 0.133 0.367 0.000
Cr1 Cr 0.163 0.663 0.500

***

# CsSiTe2N (PBE-GGA, relaxed)
# - E_form (uncorrected): 0.01 eV/f.u.
# - Size of the total moment: 0.0002 μB per atom
# - DFT total energy: -20.87 eV for the cell shown
# - ρ: 5.064 Mg/m³
data_CsSiTe2N
_chemical_formula_sum 'Cs1 Si1 Te2 N1'
_space_group_name_H-M_alt 'P 4/m m m'
_space_group_IT_number 123
_space_group_name_Hall '-P 4 2'
_cell_length_a 6.572
_cell_length_b 6.572
_cell_length_c 3.266
_cell_angle_alpha 90.00
_cell_angle_beta 90.00
_cell_angle_gamma 90.00
loop_
_atom_site_label
_atom_site_type_symbol
_atom_site_fract_x
_atom_site_fract_y
_atom_site_fract_z
Cs1 Cs 0.000 0.000 0.000
Si1 Si 0.500 0.500 0.500
Te1 Te 0.000 0.500 0.500
N1 N 0.500 0.500 0.000

***

# LaCdIn (PBE-GGA, relaxed)
# - Size of the total moment: 0.0000 μB per atom
# - Energy of formation from the pure elements: -424.1 meV per atom
# - DFT total energy: -39.41 eV for the cell shown
# - ρ: 7.261 Mg/m³
data_LaCdIn
_chemical_formula_sum 'La4 Cd4 In4'
_space_group_name_H-M_alt 'P n m a'
_space_group_IT_number 62
_space_group_name_Hall '-P 2ac 2n'
_cell_length_a 6.783
_cell_length_b 5.171
_cell_length_c 9.548
_cell_angle_alpha 90.00
_cell_angle_beta 90.00
_cell_angle_gamma 90.00
loop_
_atom_site_label
_atom_site_type_symbol
_atom_site_fract_x
_atom_site_fract_y
_atom_site_fract_z
La1 La 0.196 0.250 0.080
Cd1 Cd 0.175 0.250 0.410
In1 In 0.026 0.250 0.732

***

# TlTc2Te (PBE-GGA, relaxed)
# - E_form (uncorrected): 3.57 eV/f.u.
# - Size of the total moment: 0.0001 μB per atom
# - DFT total energy: -45.34 eV for the cell shown
# - ρ: 11.320 Mg/m³
data_TlTc2Te
_chemical_formula_sum 'Tl2 Tc4 Te2'
_space_group_name_H-M_alt 'C 1 2/m 1'
_space_group_IT_number 12
_space_group_name_Hall '-C 2y'
_cell_length_a 6.360
_cell_length_b 8.718
_cell_length_c 3.158
_cell_angle_alpha 90.00
_cell_angle_beta 117.80
_cell_angle_gamma 90.00
loop_
_atom_site_label
_atom_site_type_symbol
_atom_site_fract_x
_atom_site_fract_y
_atom_site_fract_z
Tl1 Tl 0.000 0.000 0.000
Tc1 Tc 0.250 0.250 0.500
Te1 Te 0.000 0.500 0.000

***

# Rb2WAuBr6 (PBE-GGA, relaxed)
# - E_form (uncorrected): -7.34 eV/f.u.
# - Size of the total moment: 0.3000 μB per atom
# - DFT total energy: -71.08 eV for the cell shown
# - ρ: 5.103 Mg/m³
data_Rb2WAuBr6
_chemical_formula_sum 'Rb4 W2 Au2 Br12'
_space_group_name_H-M_alt 'I 4/m m m'
_space_group_IT_number 139
_space_group_name_Hall '-I 4 2'
_cell_length_a 7.995
_cell_length_b 7.995
_cell_length_c 10.500
_cell_angle_alpha 90.00
_cell_angle_beta 90.00
_cell_angle_gamma 90.00
loop_
_atom_site_label
_atom_site_type_symbol
_atom_site_fract_x
_atom_site_fract_y
_atom_site_fract_z
Rb1 Rb 0.000 0.500 0.250
W1 W 0.000 0.000 0.000
Au1 Au 0.000 0.000 0.500
Br1 Br 0.000 0.000 0.251
Br2 Br 0.230 0.230 0.000

***

# CsMgPb (PBE-GGA, relaxed)
# - Size of the total moment: 0.0000 μB per atom
# - Energy of formation from the pure elements: -134.9 meV per atom
# - DFT total energy: -13.12 eV for the cell shown
# - ρ: 4.935 Mg/m³
data_CsMgPb
_chemical_formula_sum 'Cs2 Mg2 Pb2'
_space_group_name_H-M_alt 'P 4/n m m'
_space_group_IT_number 129
_cell_length_a 5.136
_cell_length_b 5.136
_cell_length_c 9.295
_cell_angle_alpha 90.00
_cell_angle_beta 90.00
_cell_angle_gamma 90.00
loop_
_space_group_symop_operation_xyz
'x,y,z'
'-x,-y,-z'
'-y+1/2,x,z'
'y+1/2,-x,-z'
'-x+1/2,-y+1/2,z'
'x+1/2,y+1/2,-z'
'y,-x+1/2,z'
'-y,x+1/2,-z'
'x+1/2,-y,-z'
'-x+1/2,y,z'
'-y,-x,-z'
'y,x,z'
'-x,y+1/2,-z'
'x,-y+1/2,z'
'y+1/2,x+1/2,-z'
'-y+1/2,-x+1/2,z'
loop_
_atom_site_label
_atom_site_type_symbol
_atom_site_fract_x
_atom_site_fract_y
_atom_site_fract_z
Cs1 Cs 0.250 0.250 0.156
Mg1 Mg 0.250 0.750 0.500
Pb1 Pb 0.250 0.250 0.676

***

# HfBe2Ni2 (PBE-GGA, relaxed)
# - Size of the total moment: 0.0000 μB per atom
# - Energy of formation from the pure elements: -279.4 meV per atom
# - DFT total energy: -60.73 eV for the cell shown
# - ρ: 8.976 Mg/m³
data_HfBe2Ni2
_chemical_formula_sum 'Hf2 Be4 Ni4'
_space_group_name_H-M_alt 'P 4/m b m'
_space_group_IT_number 127
_space_group_name_Hall '-P 4 2ab'
_cell_length_a 6.666
_cell_length_b 6.666
_cell_length_c 2.614
_cell_angle_alpha 90.00
_cell_angle_beta 90.00
_cell_angle_gamma 90.00
loop_
_atom_site_label
_atom_site_type_symbol
_atom_site_fract_x
_atom_site_fract_y
_atom_site_fract_z
Hf1 Hf 0.000 0.000 0.000
Be1 Be 0.115 0.385 0.000
Ni1 Ni 0.175 0.675 0.500

***

# BiHBr2 (PBE-GGA, relaxed)
# - Size of the total moment: 0.1643 μB per atom
# - DFT total energy: -27.79 eV for the cell shown
# - ρ: 6.468 Mg/m³
data_BiHBr2
_chemical_formula_sum 'Bi3 H3 Br6'
_space_group_name_H-M_alt 'R -3 m'
_space_group_IT_number 166
_space_group_name_Hall '-R 3 2"'
_cell_length_a 3.8069
_cell_length_b 3.8069
_cell_length_c 22.6910
_cell_angle_alpha 90.00
_cell_angle_beta 90.00
_cell_angle_gamma 120.00
loop_
_atom_site_label
_atom_site_type_symbol
_atom_site_fract_x
_atom_site_fract_y
_atom_site_fract_z
Bi1 Bi 0.0000 0.0000 0.0000
H1 H 0.0000 0.0000 0.5000
Br1 Br 0.0000 0.0000 0.2365

***

# Ba2LiHfGa (PBE-GGA, relaxed)
# - Size of the total moment: 0.4660 μB per atom
# - Energy of formation from the pure elements: 677.9 meV per atom
# - DFT total energy: -15.35 eV for the cell shown
# - ρ: 4.525 Mg/m³
data_Ba2LiHfGa
_chemical_formula_sum 'Ba2 Li1 Hf1 Ga1'
_space_group_name_H-M_alt 'P 4/m m m'
_space_group_IT_number 123
_space_group_name_Hall '-P 4 2'
_cell_length_a 6.384
_cell_length_b 6.384
_cell_length_c 4.770
_cell_angle_alpha 90.00
_cell_angle_beta 90.00
_cell_angle_gamma 90.00
loop_
_atom_site_label
_atom_site_type_symbol
_atom_site_fract_x
_atom_site_fract_y
_atom_site_fract_z
Ba1 Ba 0.000 0.500 0.000
Li1 Li 0.000 0.000 0.500
Hf1 Hf 0.500 0.500 0.500
Ga1 Ga 0.000 0.000 0.000

***

# Pm2Te2AuO2 (PBE-GGA, relaxed)
# - E_form (uncorrected): -13.24 eV/f.u.
# - Size of the total moment: 0.0000 μB per atom
# - DFT total energy: -42.22 eV for the cell shown
# - ρ: 7.393 Mg/m³
data_Pm2Te2AuO2
_chemical_formula_sum 'Pm2 Te2 Au1 O2'
_space_group_name_H-M_alt 'P -3 m 1'
_space_group_IT_number 164
_space_group_name_Hall '-P 3 2"'
_cell_length_a 3.9740
_cell_length_b 3.9740
_cell_length_c 12.7141
_cell_angle_alpha 90.00
_cell_angle_beta 90.00
_cell_angle_gamma 120.00
loop_
_atom_site_label
_atom_site_type_symbol
_atom_site_fract_x
_atom_site_fract_y
_atom_site_fract_z
Pm1 Pm 0.3333 0.6667 0.1175
Te1 Te 0.0000 0.0000 0.2977
Au1 Au 0.0000 0.0000 0.5000
O1 O 0.3333 0.6667 0.9287

***

# BeHSe (PBE-GGA, relaxed)
# - Size of the total moment: 0.0000 μB per atom
# - DFT total energy: -48.09 eV for the cell shown
# - ρ: 2.640 Mg/m³
data_BeHSe
_chemical_formula_sum 'Be4 H4 Se4'
_space_group_name_H-M_alt 'C 1 2/m 1'
_space_group_IT_number 12
_space_group_name_Hall '-C 2y'
_cell_length_a 5.127
_cell_length_b 5.146
_cell_length_c 8.844
_cell_angle_alpha 90.00
_cell_angle_beta 106.37
_cell_angle_gamma 90.00
loop_
_atom_site_label
_atom_site_type_symbol
_atom_site_fract_x
_atom_site_fract_y
_atom_site_fract_z
Be1 Be 0.000 0.250 0.000
H1 H 0.070 0.000 0.494
Se1 Se 0.172 0.500 0.840